(1)
First-principles (PBE-GGA) data for ScTaFe2 after structural relaxation, as listed in the Alexandria database.

Output
The theoretical density is 8.94 g/cm3. As for the formation energy: 215.4 meV per atom. As for the excess energy over the best structure of this formula in the dataset: 41.9 kJ per mole of atoms. For the density of states at the Fermi level, the calculation gives 1.212 states/eV per atom. As for the space group: R-3m (166). Its crystal system is trigonal.

abc: 8.0038 8.0038 8.0038
angles: 21.93 21.93 21.93
Fractional positions:
Sc: 0.0000 0.0000 0.0000
Ta: 0.5000 0.5000 0.5000
Fe: 0.2454 0.2454 0.2454
Fe: 0.7546 0.7546 0.7546

***

(2)
First-principles (PBE-GGA) data for Na2Pr3Hg8 after structural relaxation, as listed in the Alexandria database.

Output
The theoretical density is 9.30 g/cm3. As for the formation energy: -139.6 meV per atom. For the density of states at the Fermi level, the calculation gives 0.819 states/eV per atom. As for the space group: R-3m (166). Its crystal system is trigonal.

abc: 11.9062 11.9062 11.9062
angles: 29.85 29.85 29.85
Fractional positions:
Na: 0.1292 0.1292 0.1292
Na: 0.8708 0.8708 0.8708
Pr: 0.3063 0.3063 0.3063
Pr: 0.5000 0.5000 0.5000
Pr: 0.6937 0.6937 0.6937
Hg: 0.2121 0.2121 0.2121
Hg: 0.2273 0.2273 0.7223
Hg: 0.2273 0.7223 0.2273
Hg: 0.2777 0.7727 0.7727
Hg: 0.7223 0.2273 0.2273
Hg: 0.7727 0.2777 0.7727
Hg: 0.7727 0.7727 0.2777
Hg: 0.7879 0.7879 0.7879

***

Question: Which of these has the highest formation energy?
Answer: ScTaFe2